Entry 1:
Below is Tl2TcCl after structural relaxation, with properties calculated at the PBE-GGA level.

electronic total energy: -3.713 eV/atom
Fermi-level density of states: 2.15 states/eV/f.u.
offset from the most stable computed form: 306.4 meV per atom
raw formation energy: 12.07 kcal/mol of atoms

Unit cell a=6.6686 b=6.6686 c=6.6686 alpha=143.51 beta=143.51 gamma=52.55
With the nearest neighbours (Å) after each atom.
Element x y z (fractional)
Tl  0.0000  0.0000  0.0000  4 Tc 2.95
Tl  0.7500  0.2500  0.5000  4 Cl 2.95
Tc  0.5000  0.5000  0.0000  4 Tl 2.95
Cl  0.2500  0.7500  0.5000  4 Tl 2.95

=====

Entry 2:
Below is TlTc2Cl after structural relaxation, with properties calculated at the PBE-GGA level.

electronic total energy: -5.956 eV/atom
Fermi-level density of states: 3.78 states/eV/f.u.
offset from the most stable computed form: 169.8 meV per atom
raw formation energy: 6.47 kcal/mol of atoms

Unit cell a=10.4297 b=10.4297 c=10.4297 alpha=16.47 beta=16.47 gamma=16.47
With the nearest neighbours (Å) after each atom.
Element x y z (fractional)
Tl  0.0000  0.0000  0.0000  6 Tl 2.99, 3 Tc 3.08
Tc  0.2508  0.2508  0.2508  3 Tc 2.64
Tc  0.5191  0.5191  0.5191  3 Cl 2.52, 3 Tc 2.64
Cl  0.7928  0.7928  0.7928  3 Tc 2.52

=====

Entry 3:
Below is TlTc2Cl after structural relaxation, with properties calculated at the PBE-GGA level.

electronic total energy: -6.126 eV/atom
Fermi-level density of states: 3.25 states/eV/f.u.
offset from the most stable computed form: 0.0 meV per atom
raw formation energy: 2.55 kcal/mol of atoms

Unit cell a=3.0770 b=3.0220 c=8.4998 alpha=90.00 beta=100.24 gamma=90.00
With the nearest neighbours (Å) after each atom.
Element x y z (fractional)
Tl  0.0000  0.0000  0.0000  4 Tl 3.02-3.08, 4 Tc 3.06-3.07
Tc  0.2111  0.0000  0.4306  2 Cl 2.47, 4 Tc 2.58
Tc  0.6272  0.5000  0.2604  4 Tc 2.58
Cl  0.3257  0.5000  0.6641  2 Tc 2.47

=====

Entry 4:
Below is TlTc2Cl after structural relaxation, with properties calculated at the PBE-GGA level.

electronic total energy: -5.252 eV/atom
Fermi-level density of states: 4.50 states/eV/f.u.
offset from the most stable computed form: 874.0 meV per atom
raw formation energy: 22.71 kcal/mol of atoms

Unit cell a=3.1757 b=3.1757 c=6.6112 alpha=90.00 beta=90.00 gamma=90.00
With the nearest neighbours (Å) after each atom.
Element x y z (fractional)
Tl  0.0000  0.0000  0.0000  8 Tc 2.97, 4 Tl 3.18, 2 Cl 3.31
Tc  0.5000  0.5000  0.2936  4 Cl 2.63, 1 Tc 2.73
Tc  0.5000  0.5000  0.7064  4 Cl 2.63, 1 Tc 2.73
Cl  0.0000  0.0000  0.5000  8 Tc 2.63